# 1
Density functional theory data (SCAN) for a PBEsol-optimized structure of KAl3W.

Cell: 4.976 4.976 4.976 Å, 90.00 90.00 90.00°
Sites, in units of the cell vectors:
Al: 0.000 0.500 0.000
Al: 0.500 0.000 0.000
Al: 0.000 0.000 0.500
K: 0.500 0.500 0.500
W: 0.000 0.000 0.000

## Properties
electronic total energy = -19.85 eV per atom
magnetization = 0.000 Bohr magnetons per cell
polymorph energy (0 for the lowest one) = 0.000 eV/atom
symmetry = Pm-3m

# 2
Density functional theory data (SCAN) for a PBEsol-optimized structure of Fe3Co2.

Cell: 2.785 2.785 7.303 Å, 100.99 100.99 90.00°
Site moments in Bohr magnetons follow the coordinates.
Sites, in units of the cell vectors:
Co: 0.199 0.199 0.398  1.86
Co: 0.801 0.801 0.602  1.86
Fe: 0.399 0.399 0.798  2.78
Fe: 0.000 0.000 0.000  2.63
Fe: 0.601 0.601 0.202  2.78

## Properties
electronic total energy = -17.92 eV per atom
magnetization = 11.660 Bohr magnetons per cell
polymorph energy (0 for the lowest one) = 0.003 eV/atom
symmetry = I4/mmm